Entry from Alexandria via LeMat-Bulk: a relaxed structure of K2AlAs (PBE).

Results
DFT total energy ... -11.65 eV/cell
Formation energy ... -1.063 eV per formula unit
Symmetry ... Pm (6)
Offset from the most stable computed form ... 0.00 kcal/mol of atoms

Cell and atoms, written as POSCAR:
```
K2AlAs
1.0
-1.712 -3.675 0.054
4.809 -2.237 0.238
2.192 -0.926 6.515
As K Al
1 2 1
Direct
0.500 0.562 0.754
0.500 0.283 0.308
0.000 0.980 0.916
0.000 0.675 0.522
```